[1]
The following is a PBE calculation of a relaxed HoZnFe crystal, from OQMD.

Output
The total energy comes out at -11.773 eV per cell. The formation energy from the elements is 792 meV per atom.

a = 4.493 Å, b = 4.493 Å, c = 4.493 Å
α = 60.00°, β = 60.00°, γ = 60.00°
Sites, in units of the cell vectors:
1 Fe 0.250 0.250 0.250
2 Ho 0.000 0.000 0.000
3 Zn 0.750 0.750 0.750

=====

[2]
The following is a PBE calculation of a relaxed LaUAs crystal, from OQMD.

Output
The total energy comes out at -21.348 eV per cell. Its offset from the most stable computed form is 0 meV per atom.

a = 4.973 Å, b = 4.973 Å, c = 4.973 Å
α = 60.00°, β = 60.00°, γ = 60.00°
Sites, in units of the cell vectors:
1 As 0.000 0.000 0.000
2 La 0.250 0.250 0.250
3 U 0.750 0.750 0.750

=====

[3]
The following is a PBE calculation of a relaxed LuNb2Cu crystal, from OQMD.

Output
The total energy comes out at -27.696 eV per cell. The formation energy from the elements is 183 meV per atom.

a = 4.703 Å, b = 4.703 Å, c = 4.703 Å
α = 60.00°, β = 60.00°, γ = 60.00°
Sites, in units of the cell vectors:
1 Cu 0.750 0.750 0.750
2 Lu 0.500 0.500 0.500
3 Nb 0.000 0.000 0.000
4 Nb 0.250 0.250 0.250

=====

[4]
The following is a PBE calculation of a relaxed Bi4PtO7 crystal, from OQMD.

Output
The total energy comes out at -68.718 eV per cell.

a = 6.896 Å, b = 6.896 Å, c = 9.218 Å
α = 130.39°, β = 130.39°, γ = 33.86°
Sites, in units of the cell vectors:
1 Bi 0.749 0.749 0.161
2 Bi 0.582 0.582 0.389
3 Bi 0.418 0.418 0.611
4 Bi 0.251 0.251 0.839
5 O 0.500 0.500 0.000
6 O 0.913 0.913 0.119
7 O 0.370 0.370 0.319
8 O 0.801 0.801 0.447
9 O 0.199 0.199 0.553
10 O 0.630 0.630 0.681
11 O 0.087 0.087 0.881
12 Pt 0.000 0.000 0.000

=====

[5]
The following is a PBE calculation of a relaxed PaAgPb crystal, from OQMD.

Output
The total energy comes out at -14.393 eV per cell.

a = 5.048 Å, b = 5.048 Å, c = 5.048 Å
α = 60.00°, β = 60.00°, γ = 60.00°
Sites, in units of the cell vectors:
1 Ag 0.250 0.250 0.250
2 Pa 0.000 0.000 0.000
3 Pb 0.750 0.750 0.750

=====

[6]
The following is a PBE calculation of a relaxed ErHgIr crystal, from OQMD.

Output
The total energy comes out at -13.648 eV per cell. The formation energy from the elements is 23 meV per atom.

a = 4.694 Å, b = 4.694 Å, c = 4.694 Å
α = 60.00°, β = 60.00°, γ = 60.00°
Sites, in units of the cell vectors:
1 Er 0.000 0.000 0.000
2 Hg 0.250 0.250 0.250
3 Ir 0.750 0.750 0.750